LiH2AuO2 GGA-PBE relaxed; space group = P2_1/m, No. 11; final energy = -4.16 eV per atom; N(E_F) = 1.0 states/eV/f.u.; M_tot = 0.00 μB/cell; volume = 129.6 Å³ per cell
1.0
-4.6571 -0.4330 0.6455
0.6793 -3.5082 2.5473
0.0795 5.1129 4.0028
Li H Au O
2 4 2 4
direct
0.2500 0.0767 0.9790
0.7500 0.9233 0.0210
0.2500 0.1835 0.3118
0.2500 0.8070 0.6978
0.7500 0.8165 0.6882
0.7500 0.1930 0.3022
0.7500 0.3459 0.7622
0.2500 0.6541 0.2378
0.4984 0.1606 0.2552
0.0016 0.1606 0.2552
0.9984 0.8394 0.7448
0.5016 0.8394 0.7448



TbPr2Sm2Dy4 GGA-PBE relaxed; space group = C2/m, No. 12; final energy = -4.67 eV per atom; N(E_F) = 12.1 states/eV/f.u.; M_tot = 0.00 μB/cell; volume = 298.1 Å³ per cell
1.0
-1.7961 0.0059 3.1590
-0.5063 -9.2923 -2.3606
8.0771 2.6463 4.5874
Tb Pr Sm Dy
1 2 2 4
direct
0.0000 0.0000 0.0000
0.3347 0.6694 0.9992
0.6653 0.3306 0.0008
0.8531 0.7062 0.3376
0.1469 0.2938 0.6624
0.8149 0.6298 0.6640
0.1851 0.3702 0.3360
0.5193 0.0385 0.3328
0.4807 0.9615 0.6672



Ho6TmSc8 GGA-PBE relaxed; space group = R-3, No. 148; final energy = -5.37 eV per atom; N(E_F) = 24.9 states/eV/f.u.; M_tot = 0.00 μB/cell; volume = 417.5 Å³ per cell
1.0
8.5512 -0.0001 0.0000
4.2757 7.4055 0.0000
4.2756 2.4685 6.5931
Ho Tm Sc
6 1 8
direct
0.4599 0.8934 0.8684
0.1066 0.2216 0.1316
0.2216 0.5401 0.1316
0.7784 0.4599 0.8684
0.8934 0.7784 0.8684
0.5401 0.1066 0.1316
0.0000 0.0000 0.0000
0.7165 0.1101 0.4287
0.8899 0.2554 0.5713
0.2554 0.2835 0.5713
0.5745 0.5745 0.2765
0.4255 0.4255 0.7235
0.7446 0.7165 0.4287
0.1101 0.7446 0.4287
0.2835 0.8899 0.5713